Record 1
{"formula": "MgRe2W", "functional": "GGA-PBE", "state": "relaxed", "formation_energy_ev_per_fu": 1.10, "sg": "C2/m (12)", "lattice": [[-1.274, 2.502, -4.427], [-3.964, -2.231, 2.607], [-1.239, 2.181, 0.994]], "species": ["Mg", "Re", "Re", "W"], "fractional_positions": [[0.000, 0.500, 0.500], [0.000, 0.000, 0.000], [0.500, 0.500, 0.000], [0.500, 0.000, 0.500]]}

Record 2
{"formula": "NdAl4Ir2Rh", "functional": "GGA-PBE", "state": "relaxed", "formation_energy_ev_per_fu": -6.97, "sg": "R-3m (166)", "lattice": [[4.229, 0.000, 0.000], [2.114, 3.662, 0.000], [2.114, 1.221, 8.885]], "species": ["Nd", "Al", "Al", "Al", "Al", "Ir", "Ir", "Rh"], "fractional_positions": [[0.000, 0.000, 0.000], [0.406, 0.406, 0.782], [0.867, 0.867, 0.399], [0.133, 0.133, 0.601], [0.594, 0.594, 0.218], [0.767, 0.767, 0.700], [0.233, 0.233, 0.300], [0.500, 0.500, 0.500]]}

Record 3
{"formula": "Te8Mo", "functional": "GGA-PBE", "state": "relaxed", "sg": "I4/mmm (139)", "energy_ev_per_atom": -3.650, "lattice": [[4.586, -6.232, 2.765], [-6.402, 4.942, 1.451], [-3.854, -4.463, -5.722]], "species": ["Te", "Te", "Te", "Te", "Te", "Te", "Te", "Te", "Mo"], "fractional_positions": [[0.357, 0.643, 0.000], [0.643, 0.357, 0.000], [0.000, 0.258, 0.258], [0.643, 0.643, 0.286], [0.258, 0.000, 0.258], [0.357, 0.357, 0.714], [0.000, 0.742, 0.742], [0.742, 0.000, 0.742], [0.000, 0.000, 0.000]]}

Record 4
{"formula": "Y3TaIn", "functional": "GGA-PBE", "state": "relaxed", "formation_energy_ev_per_fu": 5.50, "polymorph_energy_kcal_per_mol_atoms": 12.459, "sg": "Pm-3m (221)", "lattice": [[-5.455, 0.902, 0.819], [-1.201, -3.361, -4.301], [-0.202, -4.374, 3.474]], "species": ["Y", "Y", "Y", "In", "Ta"], "fractional_positions": [[0.000, 0.500, 0.000], [0.000, 0.000, 0.500], [0.500, 0.000, 0.000], [0.000, 0.000, 0.000], [0.500, 0.500, 0.500]]}

Record 5
{"formula": "Ca3Hf2ZrAs6", "functional": "GGA-PBE", "state": "relaxed", "formation_energy_ev_per_fu": -13.90, "sg": "C2/m (12)", "lattice": [[6.850, -0.001, 0.001], [-3.424, 5.933, 0.001], [-1.142, -1.977, 6.808]], "species": ["Ca", "Ca", "Ca", "Hf", "Hf", "Zr", "As", "As", "As", "As", "As", "As"], "fractional_positions": [[0.166, 0.834, 0.500], [0.834, 0.166, 0.500], [0.500, 0.500, 0.500], [0.333, 0.667, 0.000], [0.667, 0.333, 0.000], [0.000, 0.000, 0.000], [0.925, 0.589, 0.775], [0.739, 0.739, 0.225], [0.075, 0.411, 0.225], [0.589, 0.925, 0.775], [0.261, 0.261, 0.775], [0.411, 0.075, 0.225]]}

Record 6
{"formula": "ZrOs3Rh", "functional": "GGA-PBE", "state": "relaxed", "formation_energy_ev_per_fu": 13.31, "polymorph_energy_kcal_per_mol_atoms": 19.574, "sg": "Pm-3m (221)", "lattice": [[-0.410, 3.765, -2.852], [-4.706, -0.571, -0.077], [-0.405, 2.824, 3.787]], "species": ["Rh", "Os", "Os", "Os", "Zr"], "fractional_positions": [[0.500, 0.500, 0.500], [0.000, 0.500, 0.000], [0.000, 0.000, 0.500], [0.500, 0.000, 0.000], [0.000, 0.000, 0.000]]}

Record 7
{"formula": "PrCuPbAu", "functional": "GGA-PBE", "state": "relaxed", "formation_energy_ev_per_fu": -1.50, "sg": "F-43m (216)", "lattice": [[5.064, 0.000, 0.000], [2.532, 4.386, 0.000], [2.532, 1.462, 4.135]], "species": ["Pb", "Pr", "Au", "Cu"], "fractional_positions": [[0.000, 0.000, 0.000], [0.500, 0.500, 0.500], [0.750, 0.750, 0.750], [0.250, 0.250, 0.250]]}

Record 8
{"formula": "CsTa3C", "functional": "GGA-PBE", "state": "relaxed", "formation_energy_ev_per_fu": 6.34, "polymorph_energy_kcal_per_mol_atoms": 0.000, "sg": "Pm-3m (221)", "lattice": [[-2.304, 2.862, -2.590], [-2.089, -3.461, -1.967], [-3.247, 0.195, 3.104]], "species": ["Cs", "C", "Ta", "Ta", "Ta"], "fractional_positions": [[0.500, 0.500, 0.500], [0.000, 0.000, 0.000], [0.000, 0.500, 0.000], [0.000, 0.000, 0.500], [0.500, 0.000, 0.000]]}

Record 9
{"formula": "KWBr2", "functional": "GGA-PBE", "state": "relaxed", "polymorph_energy_kcal_per_mol_atoms": 1.231, "sg": "Pmm2 (25)", "lattice": [[-3.001, 3.282, -3.053], [-1.098, -2.913, -2.052], [-4.170, -0.749, 3.293]], "species": ["Br", "Br", "K", "W"], "fractional_positions": [[0.000, 0.979, 0.875], [0.500, 0.970, 0.375], [0.000, 0.479, 0.375], [0.500, 0.072, 0.875]]}

Record 10
{"formula": "Li2Mg6Ag", "functional": "GGA-PBE", "state": "relaxed", "formation_energy_ev_per_fu": -0.88, "polymorph_energy_kcal_per_mol_atoms": 0.056, "sg": "P4_2/mnm (136)", "lattice": [[4.728, 0.000, 0.254], [0.000, 8.833, 0.000], [-0.475, 0.000, 8.825]], "species": ["Li", "Li", "Li", "Li", "Mg", "Mg", "Mg", "Mg", "Mg", "Mg", "Mg", "Mg", "Mg", "Mg", "Mg", "Mg", "Ag", "Ag"], "fractional_positions": [[0.000, 0.302, 0.801], [0.500, 0.802, 0.699], [0.500, 0.198, 0.301], [0.000, 0.698, 0.199], [0.000, 0.029, 0.175], [0.000, 0.675, 0.530], [0.000, 0.627, 0.873], [0.500, 0.127, 0.627], [0.500, 0.175, 0.970], [0.500, 0.529, 0.325], [0.000, 0.971, 0.825], [0.000, 0.325, 0.470], [0.000, 0.373, 0.127], [0.500, 0.873, 0.373], [0.500, 0.825, 0.030], [0.500, 0.471, 0.675], [0.500, 0.500, 0.000], [0.000, 0.000, 0.500]]}

Record 11
{"formula": "Tl2Mo9S11", "functional": "GGA-PBE", "state": "relaxed", "sg": "R-3 (148)", "energy_ev_per_atom": -7.357, "lattice": [[-4.031, -8.508, 0.065], [2.683, -6.527, -6.231], [7.799, -8.862, 5.530]], "species": ["Tl", "Tl", "Tl", "Tl", "Mo", "Mo", "Mo", "Mo", "Mo", "Mo", "Mo", "Mo", "Mo", "Mo", "Mo", "Mo", "Mo", "Mo", "Mo", "Mo", "Mo", "Mo", "S", "S", "S", "S", "S", "S", "S", "S", "S", "S", "S", "S", "S", "S", "S", "S", "S", "S", "S", "S", "S", "S"], "fractional_positions": [[0.333, 0.333, 0.001], [0.770, 0.770, 0.690], [0.230, 0.230, 0.310], [0.667, 0.667, 0.999], [0.359, 0.693, 0.402], [0.111, 0.924, 0.713], [0.020, 0.202, 0.907], [0.076, 0.747, 0.287], [0.307, 0.453, 0.598], [0.980, 0.798, 0.093], [0.871, 0.020, 0.907], [0.202, 0.871, 0.907], [0.747, 0.889, 0.287], [0.129, 0.980, 0.093], [0.253, 0.111, 0.713], [0.798, 0.129, 0.093], [0.693, 0.547, 0.402], [0.547, 0.359, 0.402], [0.453, 0.641, 0.598], [0.889, 0.076, 0.287], [0.924, 0.253, 0.713], [0.641, 0.307, 0.598], [0.584, 0.584, 0.247], [0.802, 0.062, 0.732], [0.597, 0.198, 0.268], [0.282, 0.674, 0.096], [0.242, 0.498, 0.420], [0.062, 0.403, 0.732], [0.052, 0.718, 0.904], [0.416, 0.416, 0.753], [0.853, 0.853, 0.442], [0.498, 0.841, 0.420], [0.403, 0.802, 0.732], [0.674, 0.948, 0.096], [0.198, 0.938, 0.268], [0.147, 0.147, 0.558], [0.502, 0.159, 0.580], [0.758, 0.502, 0.580], [0.841, 0.242, 0.420], [0.948, 0.282, 0.096], [0.718, 0.326, 0.904], [0.326, 0.052, 0.904], [0.938, 0.597, 0.268], [0.159, 0.758, 0.580]]}

Record 12
{"formula": "Er2FeSi3Pt4", "functional": "GGA-PBE", "state": "relaxed", "sg": "P-4m2 (115)", "energy_ev_per_atom": -6.772, "lattice": [[4.136, 0.000, 0.000], [0.000, 4.136, 0.000], [0.000, 0.000, 10.096]], "species": ["Er", "Er", "Fe", "Si", "Si", "Si", "Pt", "Pt", "Pt", "Pt"], "fractional_positions": [[0.500, 0.000, 0.255], [0.000, 0.500, 0.745], [0.500, 0.500, 0.500], [0.000, 0.000, 0.500], [0.500, 0.000, 0.865], [0.000, 0.500, 0.135], [0.500, 0.500, 0.000], [0.000, 0.000, 0.000], [0.500, 0.000, 0.634], [0.000, 0.500, 0.366]]}